<P>
# NdHoGeAu

An optimized crystal structure of NdHoGeAu (PBE-GGA, Alexandria via LeMat-Bulk).

Values from the calculation:
- Spin magnetization: 0.0000 μB per atom
- V: 25.01 A^3/atom
- Space group: Amm2, No. 38

a = 4.102 Å, b = 4.368 Å, c = 5.948 Å
α = 90.00°, β = 110.17°, γ = 90.00°
Fractional positions:
Nd 0.857 0.500 0.715
Ho 0.135 0.000 0.270
Ge 0.587 0.500 0.175
Au 0.420 0.000 0.840

<Q>
# NdHoGeAu

An optimized crystal structure of NdHoGeAu (PBE-GGA, Alexandria via LeMat-Bulk).

Values from the calculation:
- Spin magnetization: 0.1613 μB per atom
- V: 24.22 A^3/atom
- Space group: F-43m, No. 216

a = 5.155 Å, b = 5.155 Å, c = 5.155 Å
α = 60.00°, β = 60.00°, γ = 60.00°
Fractional positions:
Nd 0.250 0.250 0.250
Ge 0.500 0.500 0.500
Au 0.000 0.000 0.000
Ho 0.750 0.750 0.750

Which one is the least stable? From the structures above, <Q>.